Entry from the Alexandria database: an optimized crystal structure of ScCr3F (PBE+U). Values from VASP.

Structure (Quantum ESPRESSO input):
```
&SYSTEM
  ibrav = 0, nat = 5, ntyp = 3
/
ATOMIC_SPECIES
Sc 44.96 Sc.upf
Cr 52.00 Cr.upf
F 19.00 F.upf
CELL_PARAMETERS angstrom
5.450 0.000 0.000
0.000 5.450 0.000
0.000 0.000 5.450
ATOMIC_POSITIONS crystal
Sc 0.000 0.000 0.000
Cr 0.000 0.000 0.500
Cr 0.000 0.500 0.000
Cr 0.500 0.000 0.000
F 0.500 0.500 0.500
```

Calculated values
SG: Pm-3m (221)
Energy above the lowest structure with this stoichiometry, meV per atom: 1209
Total moment, Bohr magnetons per cell: 14.810